BaTa2Ir | GGA-PBE | optimized geometry

Output
**Energy of formation**: 0.45 eV/atom
**Uncorrected energy**: -8.172 eV per atom

Lattice parameters (Å, degrees): 9.861 3.278 6.656 90.00 104.23 90.00
Space group Cm (No. 8)
Unique sites:
Ba 0.000 0.000 0.000 [2 per cell]
Ta 0.033 0.500 0.531 [2 per cell]
Ta 0.302 0.500 0.376 [2 per cell]
Ir 0.246 0.000 0.636 [2 per cell]


TlCuOs | GGA-PBE | optimized geometry

Output
**Energy of formation**: 0.84 eV/atom
**Uncorrected energy**: -5.055 eV per atom

Lattice parameters (Å, degrees): 3.202 3.202 9.854 90.00 90.00 90.00
Space group I4mm (No. 107)
Unique sites:
Tl 0.000 0.000 0.000 [2 per cell]
Cu 0.000 0.000 0.311 [2 per cell]
Os 0.000 0.000 0.696 [2 per cell]